Material: PaAgSb2N
Method: DFT, PBE
State: relaxed

Output
**Energy**: -64.5 eV for the cell shown
**Formation energy without anion corrections**: -668 meV per atom

a b c (Å): 3.9563 3.9563 14.9561
angles (deg): 90.00 90.00 90.00
Closest atoms and distances in Å follow each position.
Space group P4/nmm (No. 129, origin choice 2)
Unique sites:
Pa 0.2500 0.2500 0.0782 (multiplicity 2)  4 N 2.30
Ag 0.2500 0.2500 0.6227 (multiplicity 2)  6 Sb 2.71-2.92
Sb 0.2500 0.2500 0.4338 (multiplicity 2)  5 Ag 2.82-2.92
Sb 0.2500 0.2500 0.8037 (multiplicity 2)  1 Ag 2.71
N 0.2500 0.7500 0.0000 (multiplicity 2)  4 Pa 2.30

***

Material: Cr2HPtRh
Method: DFT, PBE
State: relaxed

Output
**Energy**: -36.1 eV for the cell shown
**ΔE to the lowest computed polymorph**: 73 meV per atom

a b c (Å): 3.8037 3.8037 3.8491
angles (deg): 90.00 90.00 90.00
Closest atoms and distances in Å follow each position.
Space group P4/mmm (No. 123)
Unique sites:
Cr 0.0000 0.5000 0.0000 (multiplicity 2)  2 H 1.90
H 0.0000 0.0000 0.0000 (multiplicity 1)  4 Cr 1.90, 2 Pt 1.92
Pt 0.0000 0.0000 0.5000 (multiplicity 1)  2 H 1.92
Rh 0.5000 0.5000 0.5000 (multiplicity 1)  4 Pt 2.69, 8 Cr 2.71

***

Material: Mg6CuBi
Method: DFT, PBE
State: relaxed

Output
**Energy**: -35.2 eV for the cell shown
**ΔE to the lowest computed polymorph**: 0 meV per atom

a b c (Å): 4.9295 6.2336 11.6516
angles (deg): 90.00 90.00 90.00
Closest atoms and distances in Å follow each position.
Space group Amm2 (No. 38)
Unique sites:
Mg 0.0000 0.0000 0.0000 (multiplicity 2)  10 Mg 3.10-3.37, 2 Bi 3.12
Mg 0.0000 0.2389 0.7404 (multiplicity 4)  2 Cu 2.89, 6 Mg 2.98-3.24, 1 Bi 3.18
Mg 0.5000 0.0000 0.1610 (multiplicity 2)  10 Mg 3.10-3.34, 2 Cu 3.18
Mg 0.5000 0.2438 0.9061 (multiplicity 4)  1 Cu 2.69
Cu 0.5000 0.0000 0.7156 (multiplicity 2)  6 Mg 2.69-2.89
Bi 0.0000 0.0000 0.4992 (multiplicity 2)  10 Mg 3.12-3.43

***

Material: ZrTe2Os
Method: DFT, PBE
State: relaxed

Output
**Energy**: -73.6 eV for the cell shown
**ΔE to the lowest computed polymorph**: 682 meV per atom
**Formation energy without anion corrections**: 379 meV per atom

a b c (Å): 3.3672 3.3672 28.0331
angles (deg): 90.00 90.00 120.00
Closest atoms and distances in Å follow each position.
Space group R-3m (No. 166, hexagonal axes)
Unique sites:
Zr 0.0000 0.0000 0.0000 (multiplicity 3)  6 Te 2.89
Te 0.0000 0.0000 0.4098 (multiplicity 6)  1 Os 2.53
Os 0.0000 0.0000 0.5000 (multiplicity 3)  2 Te 2.53